Entry 1:
# Re2SbRh GGA-PBE relaxed
data_Re2SbRh
_cell_length_a 3.9740
_cell_length_b 3.9740
_cell_length_c 8.0828
_cell_angle_alpha 90.00
_cell_angle_beta 90.00
_cell_angle_gamma 90.00
_symmetry_space_group_name_H-M 'I 4/m m m'
_symmetry_Int_Tables_number 139
_symmetry_space_group_name_Hall '-I 4 2'
loop_
_atom_site_label
_atom_site_type_symbol
_atom_site_fract_x
_atom_site_fract_y
_atom_site_fract_z
Re1 Re 0.0000 0.5000 0.2500
Sb1 Sb 0.0000 0.0000 0.0000
Rh1 Rh 0.0000 0.0000 0.5000
# Uncorrected formation energy, eV/atom: 0.43
# Density of states at the Fermi level, states/eV/cell: 10.08
# DFT total energy, eV/cell: -69.329


Entry 2:
# ReSbRh GGA-PBE relaxed
data_ReSbRh
_cell_length_a 3.0240
_cell_length_b 3.0240
_cell_length_c 6.4279
_cell_angle_alpha 90.00
_cell_angle_beta 90.00
_cell_angle_gamma 120.00
_symmetry_space_group_name_H-M 'P 3 m 1'
_symmetry_Int_Tables_number 156
_symmetry_space_group_name_Hall 'P 3 -2"'
loop_
_atom_site_label
_atom_site_type_symbol
_atom_site_fract_x
_atom_site_fract_y
_atom_site_fract_z
Re1 Re 0.0000 0.0000 0.0000
Sb1 Sb 0.3333 0.6667 0.6573
Rh1 Rh 0.6667 0.3333 0.3181
# Uncorrected formation energy, eV/atom: 0.36
# Density of states at the Fermi level, states/eV/cell: 4.18
# DFT total energy, eV/cell: -22.845
# E above lowest polymorph, meV per atom: 15.0


Entry 3:
# Re2SbRh GGA-PBE relaxed
data_Re2SbRh
_cell_length_a 2.9679
_cell_length_b 2.9679
_cell_length_c 7.4548
_cell_angle_alpha 90.00
_cell_angle_beta 90.00
_cell_angle_gamma 90.00
_symmetry_space_group_name_H-M 'P 4 m m'
_symmetry_Int_Tables_number 99
_symmetry_space_group_name_Hall 'P 4 -2'
loop_
_atom_site_label
_atom_site_type_symbol
_atom_site_fract_x
_atom_site_fract_y
_atom_site_fract_z
Re1 Re 0.0000 0.0000 0.0000
Re2 Re 0.5000 0.5000 0.2178
Sb1 Sb 0.5000 0.5000 0.7241
Rh1 Rh 0.0000 0.0000 0.4675
# Uncorrected formation energy, eV/atom: 0.21
# Density of states at the Fermi level, states/eV/cell: 3.72
# DFT total energy, eV/cell: -35.529


Entry 4:
# ReSbRh3 GGA-PBE relaxed
data_ReSbRh3
_cell_length_a 4.6990
_cell_length_b 4.6990
_cell_length_c 4.6990
_cell_angle_alpha 90.00
_cell_angle_beta 90.00
_cell_angle_gamma 90.00
_symmetry_space_group_name_H-M 'P m -3 m'
_symmetry_Int_Tables_number 221
_symmetry_space_group_name_Hall '-P 4 2 3'
loop_
_atom_site_label
_atom_site_type_symbol
_atom_site_fract_x
_atom_site_fract_y
_atom_site_fract_z
Re1 Re 0.0000 0.0000 0.0000
Sb1 Sb 0.5000 0.5000 0.5000
Rh1 Rh 0.0000 0.5000 0.5000
# Uncorrected formation energy, eV/atom: 1.81
# Density of states at the Fermi level, states/eV/cell: 12.71
# DFT total energy, eV/cell: -29.586
# E above lowest polymorph, meV per atom: 793.8


Entry 5:
# Re2SbRh GGA-PBE relaxed
data_Re2SbRh
_cell_length_a 6.3969
_cell_length_b 6.3969
_cell_length_c 6.3969
_cell_angle_alpha 90.00
_cell_angle_beta 90.00
_cell_angle_gamma 90.00
_symmetry_space_group_name_H-M 'F -4 3 m'
_symmetry_Int_Tables_number 216
_symmetry_space_group_name_Hall 'F -4 2 3'
loop_
_atom_site_label
_atom_site_type_symbol
_atom_site_fract_x
_atom_site_fract_y
_atom_site_fract_z
Re1 Re 0.0000 0.0000 0.0000
Re2 Re 0.2500 0.2500 0.2500
Sb1 Sb 0.0000 0.0000 0.5000
Rh1 Rh 0.2500 0.2500 0.7500
# Uncorrected formation energy, eV/atom: 0.53
# Density of states at the Fermi level, states/eV/cell: 21.73
# DFT total energy, eV/cell: -137.008


Entry 6:
# ReSbRh4 GGA-PBE relaxed
data_ReSbRh4
_cell_length_a 7.2824
_cell_length_b 7.2824
_cell_length_c 7.2824
_cell_angle_alpha 90.00
_cell_angle_beta 90.00
_cell_angle_gamma 90.00
_symmetry_space_group_name_H-M 'F -4 3 m'
_symmetry_Int_Tables_number 216
_symmetry_space_group_name_Hall 'F -4 2 3'
loop_
_atom_site_label
_atom_site_type_symbol
_atom_site_fract_x
_atom_site_fract_y
_atom_site_fract_z
Re1 Re 0.0000 0.0000 0.0000
Sb1 Sb 0.2500 0.2500 0.2500
Rh1 Rh 0.1257 0.1257 0.6257
# Uncorrected formation energy, eV/atom: 0.49
# Density of states at the Fermi level, states/eV/cell: 40.59
# DFT total energy, eV/cell: -172.238


Entry 7:
# Re2SbRh GGA-PBE relaxed
data_Re2SbRh
_cell_length_a 2.9247
_cell_length_b 2.9247
_cell_length_c 26.5457
_cell_angle_alpha 90.00
_cell_angle_beta 90.00
_cell_angle_gamma 120.00
_symmetry_space_group_name_H-M 'R 3 m'
_symmetry_Int_Tables_number 160
_symmetry_space_group_name_Hall 'R 3 -2"'
loop_
_atom_site_label
_atom_site_type_symbol
_atom_site_fract_x
_atom_site_fract_y
_atom_site_fract_z
Re1 Re 0.0000 0.0000 0.0000
Re2 Re 0.0000 0.0000 0.2553
Sb1 Sb 0.0000 0.0000 0.4993
Rh1 Rh 0.0000 0.0000 0.7502
# Uncorrected formation energy, eV/atom: 0.29
# Density of states at the Fermi level, states/eV/cell: 11.88
# DFT total energy, eV/cell: -105.678


Entry 8:
# Re2SbRh GGA-PBE relaxed
data_Re2SbRh
_cell_length_a 3.1481
_cell_length_b 4.5683
_cell_length_c 8.9300
_cell_angle_alpha 90.00
_cell_angle_beta 90.00
_cell_angle_gamma 90.00
_symmetry_space_group_name_H-M 'I m m 2'
_symmetry_Int_Tables_number 44
_symmetry_space_group_name_Hall 'I 2 -2'
loop_
_atom_site_label
_atom_site_type_symbol
_atom_site_fract_x
_atom_site_fract_y
_atom_site_fract_z
Re1 Re 0.0000 0.0000 0.0000
Re2 Re 0.0000 0.5000 0.2483
Sb1 Sb 0.0000 0.5000 0.7440
Rh1 Rh 0.0000 0.0000 0.4717
# Uncorrected formation energy, eV/atom: 0.38
# Density of states at the Fermi level, states/eV/cell: 4.76
# DFT total energy, eV/cell: -69.697